Entry 1:
Crystalline HfMo3Pb at its relaxed geometry. Source: Alexandria via LeMat-Bulk, functional GGA-PBE.

Summary:
polymorph energy (0 for the lowest one): 0 meV per atom
E: -7.39 eV/atom
ΔE_f: 178.0 kJ/mol of atoms
Fermi-level density of states: 7.18 states/eV/cell

POSCAR file:
```
HfMo3Pb
1.0
-4.5553 -1.6303 0.3929
1.0985 -2.0418 4.2646
-1.2671 4.0910 2.2850
Pb Mo Hf
1 3 1
Cartesian
-2.3619 0.2094 3.4713
0.5493 -1.0209 2.1323
-0.6335 2.0455 1.1425
-2.2776 -0.8151 0.1964
0.0000 0.0000 0.0000
```

***

Entry 2:
Crystalline SbTePtAu2 at its relaxed geometry. Source: Alexandria via LeMat-Bulk, functional GGA-PBE.

Summary:
uncorrected formation energy: 5.198 eV/f.u.
E: -2.93 eV/atom
Fermi-level density of states: 4.69 states/eV/cell

POSCAR file:
```
SbTePtAu2
1.0
-3.6138 2.8507 -1.9825
-4.0102 -2.3492 3.9320
1.0762 3.6400 3.2723
Sb Te Au Pt
1 1 2 1
Cartesian
-2.0051 -1.1746 1.9660
0.0000 0.0000 0.0000
0.5381 1.8200 1.6362
-1.8069 1.4253 -0.9913
-3.2739 2.0708 2.6109
```

***

Entry 3:
Crystalline GeRh2Au at its relaxed geometry. Source: Alexandria via LeMat-Bulk, functional GGA-PBE.

Summary:
E: -5.42 eV/atom
ΔE_f: 21.8 kJ/mol of atoms
Fermi-level density of states: 9.79 states/eV/cell

POSCAR file:
```
GeRh2Au
1.0
-2.2765 3.0979 -0.0372
-2.7956 -2.0740 -1.6322
-5.7128 -1.7230 7.4466
Rh Ge Au
4 2 2
Cartesian
-3.1702 1.2050 1.6348
-3.4903 -1.2986 0.8364
-6.2238 -0.9359 4.9372
-8.6855 -0.3688 4.1459
-2.5361 0.5119 -0.8347
-5.5222 -1.6425 2.4899
0.0000 0.0000 0.0000
-5.2627 0.9434 3.2873
```